# 1
The following is a DFT calculation (PBE+U) of a relaxed Li2Mn2S3O12 crystal.

Unit cell a=12.690 b=8.783 c=9.008 alpha=90.00 beta=90.00 gamma=90.00
Space group Pbcn (No. 60)
One atom of each set of equivalent atoms:
Li  0.181  0.212  0.225 [8 per cell]
Mn  0.108  0.254  0.546 [8 per cell]
S  0.000  0.446  0.250 [4 per cell]
S  0.151  0.106  0.898 [8 per cell]
O  0.041  0.146  0.930 [8 per cell]
O  0.058  0.462  0.641 [8 per cell]
O  0.078  0.344  0.326 [8 per cell]
O  0.162  0.063  0.390 [8 per cell]
O  0.185  0.172  0.753 [8 per cell]
O  0.220  0.167  0.019 [8 per cell]

Calculated values
offset from the most stable computed form: 0.000 eV per formula unit
density: 2.73 g/cm3

=====

# 2
The following is a DFT calculation (PBE+U) of a relaxed Sr2Li4MnS3O2 crystal.

Unit cell a=4.126 b=4.126 c=11.869 alpha=90.00 beta=90.00 gamma=90.00
Space group P4/mmm (No. 123)
One atom of each set of equivalent atoms:
Sr  0.000  0.000  0.138 [2 per cell]
Li  0.000  0.500  0.382 [4 per cell]
Mn  0.500  0.500  0.000 [1 per cell]
S  0.000  0.000  0.500 [1 per cell]
S  0.500  0.500  0.264 [2 per cell]
O  0.000  0.500  0.000 [2 per cell]

Calculated values
final energy: -61.6 eV for the cell shown
density: 3.17 g/cm3

=====

# 3
The following is a DFT calculation (PBE+U) of a relaxed LiMn2SbO6 crystal.

Unit cell a=5.1784 b=5.1784 c=14.5851 alpha=90.00 beta=90.00 gamma=120.00
Space group R3 (No. 146, hexagonal axes)
One atom of each set of equivalent atoms:
Li  0.0000  0.0000  0.0000 [3 per cell]
Mn  0.0000  0.0000  0.2727 [3 per cell]
Mn  0.0000  0.0000  0.7876 [3 per cell]
Sb  0.0000  0.0000  0.4729 [3 per cell]
O  0.0109  0.6306  0.0518 [9 per cell]
O  0.0383  0.3560  0.5384 [9 per cell]

Calculated values
final energy: -200.5 eV for the cell shown
density: 4.92 g/cm3

=====

# 4
The following is a DFT calculation (PBE+U) of a relaxed Li2MnSbO4 crystal.

Unit cell a=10.967 b=6.423 c=6.622 alpha=90.00 beta=126.51 gamma=90.00
Space group Cm (No. 8)
One atom of each set of equivalent atoms:
Li  0.000  0.000  0.000 [2 per cell]
Li  0.084  0.000  0.701 [2 per cell]
Li  0.308  0.194  0.731 [4 per cell]
Mn  0.339  0.242  0.242 [4 per cell]
Sb  0.083  0.500  0.749 [2 per cell]
Sb  0.096  0.500  0.253 [2 per cell]
O  0.078  0.281  0.980 [4 per cell]
O  0.087  0.268  0.549 [4 per cell]
O  0.314  0.500  0.984 [2 per cell]
O  0.317  0.000  0.992 [2 per cell]
O  0.331  0.500  0.458 [2 per cell]
O  0.355  0.000  0.522 [2 per cell]

Calculated values
final energy: -193.1 eV for the cell shown
density: 4.51 g/cm3

=====

# 5
The following is a DFT calculation (PBE+U) of a relaxed Li4Mn3SbO8 crystal.

Unit cell a=10.420 b=6.303 c=10.714 alpha=90.00 beta=108.44 gamma=90.00
Space group C2/c (No. 15)
One atom of each set of equivalent atoms:
Li  0.240  0.025  0.235 [8 per cell]
Li  0.250  0.250  0.000 [4 per cell]
Li  0.250  0.250  0.500 [4 per cell]
Mn  0.000  0.000  0.000 [4 per cell]
Mn  0.000  0.254  0.250 [4 per cell]
Mn  0.000  0.500  0.000 [4 per cell]
Sb  0.000  0.250  0.750 [4 per cell]
O  0.105  0.224  0.108 [8 per cell]
O  0.115  0.021  0.871 [8 per cell]
O  0.118  0.479  0.863 [8 per cell]
O  0.124  0.247  0.637 [8 per cell]

Calculated values
offset from the most stable computed form: 0.000 eV per formula unit
density: 4.40 g/cm3

=====

# 6
The following is a DFT calculation (PBE+U) of a relaxed Li5Mn3Sb2O10 crystal.

Unit cell a=5.391 b=8.305 c=10.767 alpha=71.30 beta=79.20 gamma=71.73
Space group P1 (No. 1)
One atom of each set of equivalent atoms:
Li  0.000  0.000  0.000 [1 per cell]
Li  0.009  0.005  0.500 [1 per cell]
Li  0.114  0.640  0.468 [1 per cell]
Li  0.132  0.641  0.984 [1 per cell]
Li  0.601  0.848  0.993 [1 per cell]
Li  0.615  0.851  0.488 [1 per cell]
Li  0.743  0.473  0.460 [1 per cell]
Li  0.776  0.440  0.986 [1 per cell]
Li  0.856  0.750  0.205 [1 per cell]
Li  0.880  0.738  0.741 [1 per cell]
Mn  0.057  0.354  0.225 [1 per cell]
Mn  0.066  0.343  0.733 [1 per cell]
Mn  0.379  0.231  0.991 [1 per cell]
Mn  0.379  0.236  0.479 [1 per cell]
Mn  0.683  0.132  0.737 [1 per cell]
Mn  0.698  0.130  0.228 [1 per cell]
Sb  0.264  0.940  0.251 [1 per cell]
Sb  0.282  0.933  0.741 [1 per cell]
Sb  0.457  0.546  0.219 [1 per cell]
Sb  0.475  0.542  0.722 [1 per cell]
O  0.007  0.229  0.098 [1 per cell]
O  0.054  0.154  0.625 [1 per cell]
O  0.144  0.478  0.348 [1 per cell]
O  0.155  0.496  0.842 [1 per cell]
O  0.218  0.754  0.109 [1 per cell]
O  0.248  0.784  0.625 [1 per cell]
O  0.337  0.071  0.854 [1 per cell]
O  0.347  0.064  0.373 [1 per cell]
O  0.408  0.391  0.118 [1 per cell]
O  0.427  0.393  0.615 [1 per cell]
O  0.496  0.680  0.342 [1 per cell]
O  0.516  0.692  0.835 [1 per cell]
O  0.602  0.991  0.625 [1 per cell]
O  0.653  0.999  0.097 [1 per cell]
O  0.694  0.320  0.840 [1 per cell]
O  0.694  0.326  0.339 [1 per cell]
O  0.775  0.599  0.104 [1 per cell]
O  0.797  0.581  0.606 [1 per cell]
O  0.933  0.894  0.376 [1 per cell]
O  0.950  0.896  0.849 [1 per cell]

Calculated values
offset from the most stable computed form: 2.073 eV per formula unit
density: 4.64 g/cm3

=====

# 7
The following is a DFT calculation (PBE+U) of a relaxed Li4Mn3SbO8 crystal.

Unit cell a=6.079 b=6.092 c=6.168 alpha=61.20 beta=60.95 gamma=62.25
Space group P1 (No. 1)
One atom of each set of equivalent atoms:
Li  0.000  0.000  0.000 [1 per cell]
Li  0.011  0.461  0.541 [1 per cell]
Li  0.490  0.993  0.502 [1 per cell]
Li  0.513  0.460  0.041 [1 per cell]
Mn  0.011  0.945  0.539 [1 per cell]
Mn  0.019  0.451  0.050 [1 per cell]
Mn  0.514  0.945  0.039 [1 per cell]
Sb  0.517  0.451  0.547 [1 per cell]
O  0.245  0.214  0.266 [1 per cell]
O  0.277  0.670  0.793 [1 per cell]
O  0.287  0.670  0.321 [1 per cell]
O  0.290  0.205  0.766 [1 per cell]
O  0.743  0.694  0.324 [1 per cell]
O  0.751  0.221  0.771 [1 per cell]
O  0.756  0.230  0.297 [1 per cell]
O  0.800  0.669  0.833 [1 per cell]

Calculated values
offset from the most stable computed form: 0.095 eV per formula unit
density: 4.40 g/cm3

=====

# 8
The following is a DFT calculation (PBE+U) of a relaxed Li3Mn4SbO8 crystal.

Unit cell a=10.602 b=6.401 c=6.375 alpha=90.00 beta=125.67 gamma=90.00
Space group C2/m (No. 12)
One atom of each set of equivalent atoms:
Li  0.000  0.000  0.000 [2 per cell]
Li  0.250  0.250  0.500 [4 per cell]
Mn  0.000  0.000  0.500 [2 per cell]
Mn  0.000  0.500  0.000 [2 per cell]
Mn  0.250  0.250  0.000 [4 per cell]
Sb  0.000  0.500  0.500 [2 per cell]
O  0.006  0.273  0.278 [8 per cell]
O  0.236  0.500  0.736 [4 per cell]
O  0.250  0.000  0.767 [4 per cell]

Calculated values
final energy: -213.3 eV for the cell shown
density: 4.63 g/cm3

=====

# 9
The following is a DFT calculation (PBE+U) of a relaxed Li5Mn3Sb2O10 crystal.

Unit cell a=5.385 b=8.312 c=10.911 alpha=71.79 beta=79.66 gamma=71.17
Space group P1 (No. 1)
One atom of each set of equivalent atoms:
Li  0.000  0.000  0.000 [1 per cell]
Li  0.005  0.010  0.495 [1 per cell]
Li  0.011  0.167  0.685 [1 per cell]
Li  0.018  0.157  0.201 [1 per cell]
Li  0.463  0.913  0.618 [1 per cell]
Li  0.485  0.887  0.130 [1 per cell]
Li  0.958  0.633  0.548 [1 per cell]
Li  0.970  0.793  0.752 [1 per cell]
Li  0.979  0.805  0.255 [1 per cell]
Li  0.991  0.596  0.077 [1 per cell]
Mn  0.478  0.507  0.218 [1 per cell]
Mn  0.481  0.511  0.717 [1 per cell]
Mn  0.483  0.286  0.532 [1 per cell]
Mn  0.489  0.288  0.036 [1 per cell]
Mn  0.985  0.398  0.877 [1 per cell]
Mn  0.992  0.390  0.377 [1 per cell]
Sb  0.459  0.701  0.422 [1 per cell]
Sb  0.468  0.706  0.922 [1 per cell]
Sb  0.504  0.095  0.829 [1 per cell]
Sb  0.511  0.096  0.323 [1 per cell]
O  0.219  0.156  0.516 [1 per cell]
O  0.220  0.372  0.189 [1 per cell]
O  0.227  0.744  0.584 [1 per cell]
O  0.238  0.910  0.303 [1 per cell]
O  0.240  0.574  0.889 [1 per cell]
O  0.243  0.750  0.080 [1 per cell]
O  0.248  0.546  0.404 [1 per cell]
O  0.259  0.149  0.985 [1 per cell]
O  0.265  0.319  0.722 [1 per cell]
O  0.274  0.946  0.808 [1 per cell]
O  0.690  0.838  0.449 [1 per cell]
O  0.696  0.855  0.942 [1 per cell]
O  0.699  0.481  0.536 [1 per cell]
O  0.707  0.484  0.031 [1 per cell]
O  0.711  0.646  0.266 [1 per cell]
O  0.715  0.648  0.767 [1 per cell]
O  0.728  0.235  0.854 [1 per cell]
O  0.730  0.050  0.670 [1 per cell]
O  0.751  0.231  0.358 [1 per cell]
O  0.754  0.054  0.153 [1 per cell]

Calculated values
offset from the most stable computed form: 0.000 eV per formula unit
density: 4.58 g/cm3

=====

# 10
The following is a DFT calculation (PBE+U) of a relaxed Li4Mn5Sb3O16 crystal.

Unit cell a=10.777 b=6.122 c=9.987 alpha=90.00 beta=90.48 gamma=90.00
Space group Cm (No. 8)
One atom of each set of equivalent atoms:
Li  0.000  0.000  0.000 [2 per cell]
Li  0.013  0.000  0.513 [2 per cell]
Li  0.178  0.500  0.108 [2 per cell]
Li  0.336  0.000  0.638 [2 per cell]
Mn  0.081  0.253  0.792 [4 per cell]
Mn  0.156  0.500  0.522 [2 per cell]
Mn  0.172  0.000  0.290 [2 per cell]
Mn  0.323  0.000  0.994 [2 per cell]
Sb  0.327  0.500  0.790 [2 per cell]
Sb  0.419  0.247  0.290 [4 per cell]
O  0.019  0.500  0.687 [2 per cell]
O  0.077  0.235  0.398 [4 per cell]
O  0.148  0.000  0.894 [2 per cell]
O  0.176  0.500  0.908 [2 per cell]
O  0.239  0.274  0.675 [4 per cell]
O  0.267  0.228  0.179 [4 per cell]
O  0.350  0.500  0.402 [2 per cell]
O  0.351  0.000  0.407 [2 per cell]
O  0.416  0.267  0.901 [4 per cell]
O  0.486  0.500  0.688 [2 per cell]
O  0.492  0.000  0.177 [2 per cell]
O  0.492  0.500  0.183 [2 per cell]

Calculated values
final energy: -367.0 eV for the cell shown
density: 4.66 g/cm3

=====

# 11
The following is a DFT calculation (PBE+U) of a relaxed LiMn2SbO4 crystal.

Unit cell a=8.332 b=8.873 c=6.307 alpha=90.00 beta=122.01 gamma=90.00
Space group C2/c (No. 15)
One atom of each set of equivalent atoms:
Li  0.250  0.250  0.000 [4 per cell]
Mn  0.000  0.000  0.000 [4 per cell]
Mn  0.250  0.250  0.500 [4 per cell]
Sb  0.000  0.500  0.000 [4 per cell]
O  0.016  0.258  0.023 [8 per cell]
O  0.206  0.008  0.384 [8 per cell]

Calculated values
final energy: -208.7 eV for the cell shown
density: 5.08 g/cm3

=====

# 12
The following is a DFT calculation (PBE+U) of a relaxed Li5Mn5Sb2O12 crystal.

Unit cell a=5.408 b=9.557 c=10.407 alpha=90.00 beta=102.16 gamma=90.00
Space group C2 (No. 5)
One atom of each set of equivalent atoms:
Li  0.000  0.000  0.000 [2 per cell]
Li  0.238  0.173  0.248 [4 per cell]
Li  0.246  0.488  0.247 [4 per cell]
Mn  0.000  0.164  0.500 [2 per cell]
Mn  0.000  0.503  0.500 [2 per cell]
Mn  0.000  0.657  0.000 [2 per cell]
Mn  0.240  0.836  0.244 [4 per cell]
Sb  0.000  0.329  0.000 [2 per cell]
Sb  0.000  0.833  0.500 [2 per cell]
O  0.110  0.480  0.886 [4 per cell]
O  0.113  0.181  0.884 [4 per cell]
O  0.114  0.675  0.377 [4 per cell]
O  0.115  0.993  0.375 [4 per cell]
O  0.124  0.334  0.380 [4 per cell]
O  0.147  0.826  0.882 [4 per cell]

Calculated values
final energy: -311.0 eV for the cell shown
density: 4.70 g/cm3

=====

Number 1: M_tot 10.00 μB per formula unit. Number 2: M_tot 4.98 μB per formula unit. Number 3: M_tot 8.00 μB per formula unit. Number 4: M_tot 5.00 μB per formula unit. Number 5: M_tot 14.00 μB per formula unit. Number 6: M_tot 8.00 μB per formula unit. Number 7: M_tot 14.00 μB per formula unit. Number 8: M_tot 19.97 μB per formula unit. Number 9: M_tot 14.98 μB per formula unit. Number 10: M_tot 22.00 μB per formula unit. Number 11: M_tot 9.66 μB per formula unit. Number 12: M_tot 24.29 μB per formula unit.